(1)
## AsPCl (SCAN)

Data for a PBEsol-optimized structure of AsPCl.

Formation energy without anion corrections = -0.054 eV/atom

Cell: 3.5041 3.5041 5.5148 Å, 90.00 90.00 120.00°
Sites, in units of the cell vectors:
As: 0.0000 0.0000 0.0531
Cl: 0.6667 0.3333 0.6641
P: 0.3333 0.6667 0.2828

---

(2)
## As2PCl (SCAN)

Data for a PBEsol-optimized structure of As2PCl.

Formation energy without anion corrections = 0.200 eV/atom
E above lowest polymorph = 0.068 eV per atom

Cell: 3.4555 3.4555 7.5561 Å, 76.78 76.78 60.00°
Sites, in units of the cell vectors:
Cl: 0.5000 0.5000 0.5000
As: 0.2625 0.2625 0.2124
P: 0.0000 0.0000 0.0000
As: 0.7375 0.7375 0.7876

---

(3)
## As4PCl (SCAN)

Data for a PBEsol-optimized structure of As4PCl.

Formation energy without anion corrections = 0.647 eV/atom

Cell: 5.5132 5.5132 5.5132 Å, 60.00 60.00 60.00°
Sites, in units of the cell vectors:
As: 0.3843 0.8470 0.3843
As: 0.3843 0.3843 0.3843
P: 0.0000 0.0000 0.0000
Cl: 0.7500 0.7500 0.7500
As: 0.3843 0.3843 0.8470
As: 0.8470 0.3843 0.3843

---

(4)
## AsPCl3 (SCAN)

Data for a PBEsol-optimized structure of AsPCl3.

Formation energy without anion corrections = 0.231 eV/atom

Cell: 4.9539 4.9539 4.9539 Å, 90.00 90.00 90.00°
Site moments in Bohr magnetons follow the coordinates.
Sites, in units of the cell vectors:
Cl: 0.5000 0.0000 0.0000  0.04
P: 0.5000 0.5000 0.5000  1.17
Cl: 0.0000 0.5000 0.0000  0.04
As: 0.0000 0.0000 0.0000  0.03
Cl: 0.0000 0.0000 0.5000  0.04

---

(5)
## AsPPdCl2 (SCAN)

Data for a PBEsol-optimized structure of AsPPdCl2.

Formation energy without anion corrections = 0.598 eV/atom

Cell: 4.6492 4.6492 5.0464 Å, 90.00 90.00 90.00°
Site moments in Bohr magnetons follow the coordinates.
Sites, in units of the cell vectors:
Cl: 0.5000 0.0000 0.0000  0.03
Pd: 0.5000 0.5000 0.5000  0.30
Cl: 0.0000 0.5000 0.0000  0.03
As: 0.0000 0.0000 0.0000  -0.01
P: 0.0000 0.0000 0.5000  0.16

---

(6)
## AsPS2Cl (SCAN)

Data for a PBEsol-optimized structure of AsPS2Cl.

Formation energy without anion corrections = 1.415 eV/atom

Cell: 4.4853 4.4853 4.7091 Å, 90.00 90.00 90.00°
Sites, in units of the cell vectors:
Cl: 0.0000 0.0000 0.0000
S: 0.5000 0.0000 0.0000
S: 0.0000 0.5000 0.0000
P: 0.0000 0.0000 0.5000
As: 0.5000 0.5000 0.5000

---

(7)
## TaAsPCl13 (SCAN)

Data for a PBEsol-optimized structure of TaAsPCl13.

Formation energy without anion corrections = -1.034 eV/atom

Cell: 9.4246 9.4246 11.5961 Å, 90.00 90.00 114.80°
Sites, in units of the cell vectors:
Cl: 0.5594 0.1130 0.6238
Cl: 0.1320 0.8680 0.6321
Cl: 0.3019 0.3681 0.6342
Cl: 0.1130 0.5594 0.1238
Cl: 0.4406 0.8870 0.1238
Cl: 0.0962 0.9038 0.1196
Cl: 0.9960 0.6767 0.8850
Cl: 0.4334 0.5666 0.3409
Ta: 0.2166 0.7834 0.0021
P: 0.1304 0.8696 0.4638
As: 0.5573 0.4427 0.6496
Cl: 0.2460 0.7540 0.4074
Cl: 0.0040 0.3233 0.3850
Cl: 0.8870 0.4406 0.6238
Cl: 0.6981 0.6319 0.1342
Cl: 0.0843 0.2288 0.9080
Cl: 0.3233 0.0040 0.8850
Cl: 0.6573 0.3427 0.3961
Cl: 0.6319 0.6981 0.6342
Cl: 0.8680 0.1320 0.1321
Cl: 0.9157 0.7712 0.4080
P: 0.8696 0.1304 0.9638
Cl: 0.7712 0.9157 0.9080
Cl: 0.7540 0.2460 0.9074
Cl: 0.2288 0.0843 0.4080
Cl: 0.9038 0.0962 0.6196
Cl: 0.6767 0.9960 0.3850
Cl: 0.3427 0.6573 0.8961
Cl: 0.3681 0.3019 0.1342
Cl: 0.5666 0.4334 0.8409
Ta: 0.7834 0.2166 0.5021
As: 0.4427 0.5573 0.1496

---

(8)
## TaAsP2Cl (SCAN)

Data for a PBEsol-optimized structure of TaAsP2Cl.

Formation energy without anion corrections = 0.399 eV/atom

Cell: 4.5669 4.8549 4.8549 Å, 90.00 90.00 90.00°
Site moments in Bohr magnetons follow the coordinates.
Sites, in units of the cell vectors:
As: 0.5000 0.5000 0.5000  0.62
Ta: 0.0000 0.0000 0.0000  0.26
P: 0.0000 0.5000 0.0000  -0.13
Cl: 0.5000 0.0000 0.0000  0.00
P: 0.0000 0.0000 0.5000  -0.13

---

(9)
## TeAs2PCl (SCAN)

Data for a PBEsol-optimized structure of TeAs2PCl.

Formation energy without anion corrections = 1.105 eV/atom

Cell: 4.8992 5.2919 5.2919 Å, 90.00 90.00 90.00°
Site moments in Bohr magnetons follow the coordinates.
Sites, in units of the cell vectors:
P: 0.5000 0.5000 0.5000  0.70
Cl: 0.5000 0.0000 0.0000  -0.01
Te: 0.0000 0.0000 0.0000  0.01
As: 0.0000 0.0000 0.5000  -0.39
As: 0.0000 0.5000 0.0000  -0.39

---

(10)
## TeAsP2Cl (SCAN)

Data for a PBEsol-optimized structure of TeAsP2Cl.

Formation energy without anion corrections = 0.665 eV/atom

Cell: 4.5902 4.8447 4.8447 Å, 90.00 90.00 90.00°
Sites, in units of the cell vectors:
As: 0.0000 0.0000 0.0000
P: 0.0000 0.5000 0.0000
Te: 0.5000 0.5000 0.5000
Cl: 0.5000 0.0000 0.0000
P: 0.0000 0.0000 0.5000

---

(11)
## TiAsPCl2 (SCAN)

Data for a PBEsol-optimized structure of TiAsPCl2.

Formation energy without anion corrections = -0.300 eV/atom

Cell: 4.5091 4.5091 5.1727 Å, 90.00 90.00 90.00°
Site moments in Bohr magnetons follow the coordinates.
Sites, in units of the cell vectors:
As: 0.5000 0.5000 0.5000  0.81
P: 0.0000 0.0000 0.5000  -0.27
Cl: 0.0000 0.5000 0.0000  0.00
Ti: 0.0000 0.0000 0.0000  0.66
Cl: 0.5000 0.0000 0.0000  0.00

---

(12)
## TiAsP2Cl (SCAN)

Data for a PBEsol-optimized structure of TiAsP2Cl.

Formation energy without anion corrections = 0.172 eV/atom

Cell: 4.4146 4.7835 4.7835 Å, 90.00 90.00 90.00°
Sites, in units of the cell vectors:
P: 0.0000 0.5000 0.0000
Ti: 0.0000 0.0000 0.0000
P: 0.0000 0.0000 0.5000
Cl: 0.5000 0.0000 0.0000
As: 0.5000 0.5000 0.5000

---

(13)
## AsPbCl2 (SCAN)

Data for a PBEsol-optimized structure of AsPbCl2.

Formation energy without anion corrections = -0.280 eV/atom
E above lowest polymorph = 0.000 eV per atom

Cell: 4.4766 4.6529 4.6843 Å, 93.17 90.00 90.00°
Sites, in units of the cell vectors:
Cl: 0.0000 0.7280 0.7718
Pb: 0.5000 0.0000 0.5000
As: 0.5000 0.5000 0.0000
Cl: 0.0000 0.2720 0.2282

---

(14)
## AsPbCl2 (SCAN)

Data for a PBEsol-optimized structure of AsPbCl2.

Formation energy without anion corrections = -0.050 eV/atom
E above lowest polymorph = 0.230 eV per atom

Cell: 4.9550 4.9550 4.9550 Å, 60.00 60.00 60.00°
Sites, in units of the cell vectors:
Cl: 0.0000 0.0000 0.0000
As: 0.5000 0.5000 0.5000
Cl: 0.7500 0.7500 0.7500
Pb: 0.2500 0.2500 0.2500

---

(15)
## AsPbCl2 (SCAN)

Data for a PBEsol-optimized structure of AsPbCl2.

Formation energy without anion corrections = -0.067 eV/atom
E above lowest polymorph = 0.213 eV per atom

Cell: 3.2908 3.2908 9.4922 Å, 80.02 80.02 60.00°
Sites, in units of the cell vectors:
As: 0.0000 0.0000 0.0000
Cl: 0.2548 0.2548 0.2357
Cl: 0.7452 0.7452 0.7643
Pb: 0.5000 0.5000 0.5000

---

(16)
## AsPb2Cl (SCAN)

Data for a PBEsol-optimized structure of AsPb2Cl.

Formation energy without anion corrections = -0.488 eV/atom

Cell: 4.2937 4.2937 7.4399 Å, 73.23 73.23 60.00°
Sites, in units of the cell vectors:
Pb: 0.7415 0.7415 0.7755
As: 0.0000 0.0000 0.0000
Pb: 0.2585 0.2585 0.2245
Cl: 0.5000 0.5000 0.5000

---

(17)
## AsPbS2Cl (SCAN)

Data for a PBEsol-optimized structure of AsPbS2Cl.

Formation energy without anion corrections = 0.616 eV/atom

Cell: 5.1039 5.1435 5.1435 Å, 90.00 90.00 90.00°
Site moments in Bohr magnetons follow the coordinates.
Sites, in units of the cell vectors:
As: 0.5000 0.5000 0.5000  0.80
Pb: 0.0000 0.0000 0.0000  0.00
S: 0.0000 0.0000 0.5000  -0.17
S: 0.0000 0.5000 0.0000  -0.17
Cl: 0.5000 0.0000 0.0000  0.03

---

(18)
## AsPdCl2 (SCAN)

Data for a PBEsol-optimized structure of AsPdCl2.

Formation energy without anion corrections = 0.327 eV/atom

Cell: 4.5888 4.5888 4.5888 Å, 60.00 60.00 60.00°
Sites, in units of the cell vectors:
Cl: 0.7500 0.7500 0.7500
Pd: 0.5000 0.5000 0.5000
Cl: 0.2500 0.2500 0.2500
As: 0.0000 0.0000 0.0000

---

(19)
## AsPd3Cl (SCAN)

Data for a PBEsol-optimized structure of AsPd3Cl.

Formation energy without anion corrections = 0.131 eV/atom

Cell: 4.6241 4.6241 4.6241 Å, 90.00 90.00 90.00°
Sites, in units of the cell vectors:
Pd: 0.0000 0.5000 0.0000
Pd: 0.5000 0.0000 0.0000
As: 0.0000 0.0000 0.0000
Cl: 0.5000 0.5000 0.5000
Pd: 0.0000 0.0000 0.5000

---

(20)
## TlAsPd2Cl (SCAN)

Data for a PBEsol-optimized structure of TlAsPd2Cl.

Formation energy without anion corrections = 0.930 eV/atom

Cell: 5.0634 5.0634 5.1328 Å, 90.00 90.00 90.00°
Sites, in units of the cell vectors:
Cl: 0.5000 0.5000 0.5000
Pd: 0.0000 0.5000 0.0000
As: 0.0000 0.0000 0.5000
Pd: 0.5000 0.0000 0.0000
Tl: 0.0000 0.0000 0.0000

---

| no. | total moment (μB per formula unit) | total energy (eV/cell) |
| --- | --- | --- |
| 1 | 0.0 | -38.728 |
| 2 | 0.0 | -57.956 |
| 3 | 0.0 | -95.259 |
| 4 | 2.8 | -53.366 |
| 5 | 0.7 | -76.331 |
| 6 | 0.0 | -50.748 |
| 7 | 0.0 | -434.872 |
| 8 | 1.1 | -113.555 |
| 9 | 0.0 | -90.486 |
| 10 | 0.0 | -82.892 |
| 11 | 1.9 | -64.074 |
| 12 | 0.0 | -64.137 |
| 13 | 0.0 | -113.047 |
| 14 | 0.0 | -112.128 |
| 15 | 0.0 | -112.196 |
| 16 | 0.0 | -181.682 |
| 17 | 1.2 | -120.125 |
| 18 | 0.0 | -67.613 |
| 19 | 0.0 | -125.835 |
| 20 | 0.0 | -161.426 |